[1]
Compound: LaMg2MoOs
Source: Alexandria via LeMat-Bulk
Functional: PBE
Structure: optimized geometry

Lattice parameters (Å, degrees): 5.1204 5.1204 5.2261 90.00 90.00 90.00
Atoms (fractional coordinates):
La (0.0000, 0.0000, 0.0000)
Mg (0.0000, 0.5000, 0.5000)
Mg (0.5000, 0.0000, 0.5000)
Mo (0.5000, 0.5000, 0.0000)
Os (0.0000, 0.0000, 0.5000)

M_tot = 4.4 μB/cell
Symmetry = No. 123
Mass density = 5.7 g cm⁻³
VASP energy = -5.125 eV/atom


[2]
Compound: LaMgMo2Os
Source: Alexandria via LeMat-Bulk
Functional: PBE
Structure: optimized geometry

Lattice parameters (Å, degrees): 4.8113 4.8113 4.7193 90.00 90.00 90.00
Atoms (fractional coordinates):
La (0.0000, 0.0000, 0.0000)
Mg (0.5000, 0.5000, 0.5000)
Mo (0.0000, 0.5000, 0.5000)
Mo (0.5000, 0.0000, 0.5000)
Os (0.5000, 0.5000, 0.0000)

M_tot = 4.7 μB/cell
Symmetry = No. 123
Mass density = 8.3 g cm⁻³
Distance to the lowest polymorph of the same formula = 81.4 kJ per mole of atoms
VASP energy = -6.290 eV/atom